# SCAN YMoPb2, PBEsol geometry
data_YMoPb2
_chemical_formula_sum 'Y1 Mo1 Pb2'
_cell_length_a 4.997
_cell_length_b 4.997
_cell_length_c 4.997
_cell_angle_alpha 60.00
_cell_angle_beta 60.00
_cell_angle_gamma 60.00
_symmetry_space_group_name_H-M 'P 1'
_symmetry_Int_Tables_number 1
_symmetry_space_group_name_Hall 'P 1'
loop_
_atom_site_label
_atom_site_fract_x
_atom_site_fract_y
_atom_site_fract_z
_atom_site_occupancy
Y1 0.500 0.500 0.500 1
Pb1 0.250 0.250 0.250 1
Pb2 0.750 0.750 0.750 1
Mo1 0.000 0.000 0.000 1
# Energy above the lowest structure with this stoichiometry = 0.35 eV per formula unit
# ΔE_f = 0.138 eV per atom
# Symmetry = No. 225

=====

# SCAN BaZrAl4, PBEsol geometry
data_BaZrAl4
_chemical_formula_sum 'Ba1 Zr1 Al4'
_cell_length_a 5.607
_cell_length_b 5.607
_cell_length_c 5.607
_cell_angle_alpha 60.00
_cell_angle_beta 60.00
_cell_angle_gamma 60.00
_symmetry_space_group_name_H-M 'P 1'
_symmetry_Int_Tables_number 1
_symmetry_space_group_name_Hall 'P 1'
loop_
_atom_site_label
_atom_site_fract_x
_atom_site_fract_y
_atom_site_fract_z
_atom_site_occupancy
Ba1 0.750 0.750 0.750 1
Al1 0.374 0.374 0.374 1
Al2 0.374 0.877 0.374 1
Zr1 0.000 0.000 0.000 1
Al3 0.877 0.374 0.374 1
Al4 0.374 0.374 0.877 1
# ΔE_f = -0.115 eV per atom
# Symmetry = No. 216

=====

# SCAN La2TeCl, PBEsol geometry
data_La2TeCl
_chemical_formula_sum 'La2 Te1 Cl1'
_cell_length_a 4.329
_cell_length_b 4.329
_cell_length_c 7.107
_cell_angle_alpha 107.73
_cell_angle_beta 107.73
_cell_angle_gamma 90.00
_symmetry_space_group_name_H-M 'P 1'
_symmetry_Int_Tables_number 1
_symmetry_space_group_name_Hall 'P 1'
loop_
_atom_site_label
_atom_site_fract_x
_atom_site_fract_y
_atom_site_fract_z
_atom_site_occupancy
Cl1 0.250 0.750 0.500 1
La1 0.000 0.000 0.000 1
La2 0.750 0.250 0.500 1
Te1 0.500 0.500 0.000 1
# Energy relative to the elements, uncorrected = -1.355 eV/atom
# Energy above the lowest structure with this stoichiometry = 1.47 eV per formula unit
# Symmetry = No. 119

=====

# SCAN MoPAu, PBEsol geometry
data_MoPAu
_chemical_formula_sum 'Mo1 P1 Au1'
_cell_length_a 4.215
_cell_length_b 4.215
_cell_length_c 4.215
_cell_angle_alpha 60.00
_cell_angle_beta 60.00
_cell_angle_gamma 60.00
_symmetry_space_group_name_H-M 'P 1'
_symmetry_Int_Tables_number 1
_symmetry_space_group_name_Hall 'P 1'
loop_
_atom_site_label
_atom_site_fract_x
_atom_site_fract_y
_atom_site_fract_z
_atom_site_occupancy
Au1 0.500 0.500 0.500 1
P1 0.000 0.000 0.000 1
Mo1 0.250 0.250 0.250 1
# ΔE_f = 0.315 eV per atom
# Symmetry = No. 216

=====

# SCAN SrCuSi, PBEsol geometry
data_SrCuSi
_chemical_formula_sum 'Sr2 Cu2 Si2'
_cell_length_a 4.055
_cell_length_b 4.055
_cell_length_c 9.264
_cell_angle_alpha 90.00
_cell_angle_beta 90.00
_cell_angle_gamma 120.00
_symmetry_space_group_name_H-M 'P 1'
_symmetry_Int_Tables_number 1
_symmetry_space_group_name_Hall 'P 1'
loop_
_atom_site_label
_atom_site_fract_x
_atom_site_fract_y
_atom_site_fract_z
_atom_site_occupancy
Cu1 0.333 0.667 0.250 1
Sr1 0.000 0.000 0.500 1
Si1 0.333 0.667 0.750 1
Sr2 0.000 0.000 0.000 1
Si2 0.667 0.333 0.250 1
Cu2 0.667 0.333 0.750 1
# Energy relative to the elements, uncorrected = -0.361 eV/atom
# Symmetry = No. 194

=====

# SCAN ZnCo2Br, PBEsol geometry
data_ZnCo2Br
_chemical_formula_sum 'Zn1 Co2 Br1'
_cell_length_a 2.989
_cell_length_b 4.422
_cell_length_c 5.881
_cell_angle_alpha 81.63
_cell_angle_beta 75.28
_cell_angle_gamma 70.25
_symmetry_space_group_name_H-M 'P 1'
_symmetry_Int_Tables_number 1
_symmetry_space_group_name_Hall 'P 1'
loop_
_atom_site_label
_atom_site_fract_x
_atom_site_fract_y
_atom_site_fract_z
_atom_site_occupancy
Co1 0.843 0.958 0.357 1
Zn1 0.500 0.500 0.500 1
Br1 0.500 0.000 0.000 1
Co2 0.157 0.042 0.643 1
# Energy relative to the elements, uncorrected = 0.249 eV/atom
# Energy above the lowest structure with this stoichiometry = 0.00 eV per formula unit
# Symmetry = No. 12

=====

# SCAN AlSiH11C3O, PBEsol geometry
data_AlSiH11C3O
_chemical_formula_sum 'Al4 Si4 H44 C12 O4'
_cell_length_a 7.912
_cell_length_b 9.780
_cell_length_c 10.445
_cell_angle_alpha 99.49
_cell_angle_beta 112.25
_cell_angle_gamma 90.00
_symmetry_space_group_name_H-M 'P 1'
_symmetry_Int_Tables_number 1
_symmetry_space_group_name_Hall 'P 1'
loop_
_atom_site_label
_atom_site_fract_x
_atom_site_fract_y
_atom_site_fract_z
_atom_site_occupancy
Si1 0.454 0.639 0.251 1
H1 0.397 0.877 0.191 1
O1 0.622 0.063 0.103 1
C1 0.106 0.702 0.781 1
H2 0.768 0.897 0.932 1
H3 0.232 0.246 0.635 1
H4 0.945 0.271 0.134 1
H5 0.185 0.772 0.507 1
O2 0.481 0.563 0.103 1
H6 0.189 0.771 0.134 1
H7 0.238 0.414 0.591 1
H8 0.351 0.206 0.882 1
H9 0.232 0.103 0.068 1
H10 0.470 0.294 0.118 1
H11 0.303 0.845 0.314 1
Al1 0.381 0.387 0.990 1
H12 0.678 0.728 0.493 1
H13 0.815 0.228 0.493 1
H14 0.697 0.443 0.606 1
C2 0.313 0.319 0.607 1
H15 0.303 0.557 0.394 1
H16 0.179 0.490 0.213 1
H17 0.811 0.229 0.866 1
H18 0.164 0.397 0.932 1
H19 0.618 0.587 0.692 1
H20 0.055 0.729 0.866 1
H21 0.966 0.010 0.787 1
O3 0.519 0.437 0.897 1
Si2 0.798 0.139 0.251 1
H22 0.091 0.057 0.394 1
H23 0.909 0.943 0.606 1
H24 0.353 0.914 0.591 1
C3 0.294 0.819 0.607 1
Si3 0.202 0.861 0.749 1
H25 0.821 0.510 0.787 1
H26 0.322 0.272 0.507 1
O4 0.378 0.937 0.897 1
Al2 0.391 0.113 0.010 1
H27 0.206 0.623 0.809 1
Al3 0.609 0.887 0.990 1
H28 0.989 0.655 0.686 1
H29 0.011 0.345 0.314 1
C4 0.675 0.202 0.781 1
H30 0.768 0.754 0.365 1
Si4 0.546 0.361 0.749 1
C5 0.977 0.012 0.295 1
H31 0.403 0.746 0.635 1
H32 0.836 0.603 0.068 1
H33 0.649 0.794 0.118 1
H34 0.034 0.990 0.213 1
H35 0.603 0.123 0.809 1
H36 0.074 0.087 0.692 1
H37 0.382 0.413 0.308 1
C6 0.682 0.488 0.705 1
C7 0.706 0.181 0.393 1
H38 0.926 0.913 0.308 1
H39 0.647 0.086 0.409 1
H40 0.697 0.155 0.686 1
C8 0.325 0.798 0.219 1
H41 0.794 0.377 0.191 1
C9 0.687 0.681 0.393 1
H42 0.530 0.706 0.882 1
Al4 0.619 0.613 0.010 1
C10 0.318 0.512 0.295 1
H43 0.762 0.586 0.409 1
C11 0.894 0.298 0.219 1
C12 0.023 0.988 0.705 1
H44 0.597 0.254 0.365 1
# Symmetry = No. 15

=====

# SCAN BePb2W, PBEsol geometry
data_BePb2W
_chemical_formula_sum 'Be1 Pb2 W1'
_cell_length_a 3.427
_cell_length_b 4.729
_cell_length_c 4.729
_cell_angle_alpha 90.00
_cell_angle_beta 90.00
_cell_angle_gamma 90.00
_symmetry_space_group_name_H-M 'P 1'
_symmetry_Int_Tables_number 1
_symmetry_space_group_name_Hall 'P 1'
loop_
_atom_site_label
_atom_site_fract_x
_atom_site_fract_y
_atom_site_fract_z
_atom_site_occupancy
Pb1 0.000 0.000 0.500 1
W1 0.500 0.500 0.500 1
Be1 0.500 0.000 0.000 1
Pb2 0.000 0.500 0.000 1
# ΔE_f = 1.186 eV per atom
# Symmetry = No. 123

=====

Number 1: E -53.43 eV per atom. Number 2: E -16.99 eV per atom. Number 3: E -34.21 eV per atom. Number 4: E -37.83 eV per atom. Number 5: E -16.19 eV per atom. Number 6: E -16.65 eV per atom. Number 7: E -5.91 eV per atom. Number 8: E -55.22 eV per atom.